Record 1
Crystalline Tm2LuAu at its relaxed geometry. Source: the Alexandria database, functional PBE.

## Properties
formation energy from the elements: -279.3 meV per atom
density: 10.59 g/cm³

Lattice parameters (Å, degrees): 3.6205 3.6205 10.0247 79.60 79.60 60.00
With the nearest neighbours (Å) after each atom.
Positions (direct):
Tm 0.2625 0.2625 0.2125  3 Au 2.95
Au 0.0000 0.0000 0.0000  6 Tm 2.95
Tm 0.7375 0.7375 0.7875  3 Au 2.95
Lu 0.5000 0.5000 0.5000  6 Tm 3.51, 6 Lu 3.62

---

Record 2
Crystalline YRu2Cl at its relaxed geometry. Source: the Alexandria database, functional PBE.

## Properties
energy relative to the elements, uncorrected: 0.342 eV/atom
density: 7.24 g/cm³

Lattice parameters (Å, degrees): 5.2568 5.2568 3.2111 90.00 90.00 122.49
With the nearest neighbours (Å) after each atom.
Positions (direct):
Ru 0.5000 0.5000 0.0000  2 Ru 2.53
Ru 0.0000 0.0000 0.0000  2 Ru 2.53
Y 0.5000 0.0000 0.5000  2 Cl 2.53
Cl 0.0000 0.5000 0.5000  2 Y 2.53

---

Record 3
Crystalline YTaBr2 at its relaxed geometry. Source: the Alexandria database, functional PBE.

## Properties
energy relative to the elements, uncorrected: 0.271 eV/atom
density: 7.54 g/cm³

Lattice parameters (Å, degrees): 6.3655 6.3655 6.3655 142.58 142.58 53.95
With the nearest neighbours (Å) after each atom.
Positions (direct):
Y 0.7500 0.2500 0.5000  4 Br 2.89
Br 0.0000 0.0000 0.0000  4 Ta 2.89
Ta 0.5000 0.5000 0.0000  4 Br 2.89
Br 0.2500 0.7500 0.5000  4 Y 2.89

---

Record 4
Crystalline SiBi2P at its relaxed geometry. Source: the Alexandria database, functional PBE.

## Properties
energy relative to the elements, uncorrected: 0.506 eV/atom
density: 5.96 g/cm³

Lattice parameters (Å, degrees): 6.0588 6.0588 8.4102 68.89 68.89 90.00
With the nearest neighbours (Å) after each atom.
Positions (direct):
Bi 0.3750 0.3691 0.7500  2 P 2.78, 2 Si 2.82
Bi 0.1191 0.6250 0.2500  2 P 2.78, 2 Si 2.82
Bi 0.8750 0.8809 0.7500  2 P 2.78, 2 Si 2.82
P 0.0000 0.0000 0.0000  4 Bi 2.78
Bi 0.6309 0.1250 0.2500  2 P 2.78, 2 Si 2.82
Si 0.2500 0.7500 0.5000  4 Bi 2.82
Si 0.5000 0.5000 0.0000  4 Bi 2.82
P 0.7500 0.2500 0.5000  4 Bi 2.78

---

Record 5
Crystalline CuSbOs2 at its relaxed geometry. Source: the Alexandria database, functional PBE.

## Properties
energy relative to the elements, uncorrected: 0.715 eV/atom
density: 13.30 g/cm³

Lattice parameters (Å, degrees): 3.9559 3.9559 9.4536 77.92 77.92 90.00
With the nearest neighbours (Å) after each atom.
Positions (direct):
Cu 0.2500 0.7500 0.5000  4 Os 2.56, 4 Sb 2.80
Sb 0.0000 0.0000 0.0000  4 Os 2.77, 4 Cu 2.80
Os 0.1962 0.6250 0.2500  2 Os 2.43, 2 Cu 2.56
Sb 0.7500 0.2500 0.5000  4 Os 2.77, 4 Cu 2.80
Os 0.5538 0.1250 0.2500  2 Os 2.43, 2 Cu 2.56
Cu 0.5000 0.5000 0.0000  4 Os 2.56, 4 Sb 2.80
Os 0.3750 0.4462 0.7500  2 Os 2.43, 2 Cu 2.56
Os 0.8750 0.8038 0.7500  2 Os 2.43, 2 Cu 2.56

---

Record 6
Crystalline Pr6SnPd2 at its relaxed geometry. Source: the Alexandria database, functional PBE.

## Properties
formation energy from the elements: -503.7 meV per atom
density: 7.16 g/cm³

Lattice parameters (Å, degrees): 8.9392 8.9392 8.9392 105.02 109.00 114.54
With the nearest neighbours (Å) after each atom.
Positions (direct):
Pd 0.6449 0.0000 0.6449  1 Pd 3.01, 8 Pr 3.02-3.30
Sn 0.0000 0.5000 0.5000  12 Pr 3.47-3.87
Pr 0.1035 0.2879 0.8156  3 Pd 3.13-3.30, 1 Sn 3.38
Pr 0.5277 0.7121 0.8156  3 Pd 3.13-3.30, 1 Sn 3.38
Pr 0.8011 0.7655 0.5666  1 Pd 3.02, 1 Sn 3.28
Pr 0.6997 0.3746 0.6748  3 Pd 2.89-3.10
Pr 0.1989 0.2345 0.4334  1 Pd 3.02, 1 Sn 3.28
Pd 0.5000 0.3726 0.8726  1 Pd 2.77, 2 Pr 2.89
Pr 0.1989 0.7655 0.9645  1 Pd 3.02, 1 Sn 3.28
Pr 0.8011 0.2345 0.0355  1 Pd 3.02, 1 Sn 3.28
Sn 0.0000 0.0000 0.0000  8 Pr 3.28-3.38
Pr 0.8965 0.7121 0.1844  3 Pd 3.13-3.30, 1 Sn 3.38
Pr 0.6997 0.0249 0.3252  3 Pd 2.89-3.10
Pd 0.5000 0.6274 0.1274  1 Pd 2.77, 2 Pr 2.89
Pd 0.3551 0.0000 0.3551  1 Pd 3.01, 8 Pr 3.02-3.30
Pr 0.3003 0.9751 0.6748  3 Pd 2.89-3.10
Pr 0.4723 0.2879 0.1844  3 Pd 3.13-3.30, 1 Sn 3.38
Pr 0.3003 0.6254 0.3252  3 Pd 2.89-3.10

---

Record 7
Crystalline PuCdI6 at its relaxed geometry. Source: the Alexandria database, functional PBE.

## Properties
energy relative to the elements, uncorrected: -0.685 eV/atom
density: 5.50 g/cm³

Lattice parameters (Å, degrees): 7.5159 7.5159 8.1507 62.54 62.54 59.99
With the nearest neighbours (Å) after each atom.
Positions (direct):
I 0.5902 0.2456 0.2517  1 Pu 3.01, 1 Cd 3.04
Pu 0.0000 0.0000 0.0000  6 I 3.01
I 0.4098 0.7544 0.7483  1 Pu 3.01, 1 Cd 3.04
I 0.9126 0.5901 0.2517  1 Pu 3.01, 1 Cd 3.04
I 0.2456 0.9126 0.2516  1 Pu 3.01, 1 Cd 3.04
Cd 0.5000 0.5000 0.5000  6 I 3.04
I 0.0874 0.4099 0.7483  1 Pu 3.01, 1 Cd 3.04
I 0.7544 0.0874 0.7484  1 Pu 3.01, 1 Cd 3.04

---

Record 8
Crystalline YBO3 at its relaxed geometry. Source: the Alexandria database, functional PBE.

## Properties
energy relative to the elements, uncorrected: -2.225 eV/atom
density: 5.93 g/cm³

Lattice parameters (Å, degrees): 3.4574 3.4574 3.4574 90.00 90.00 90.00
With the nearest neighbours (Å) after each atom.
Positions (direct):
B 0.0000 0.0000 0.0000  6 O 1.73
O 0.0000 0.5000 0.0000  2 B 1.73
O 0.5000 0.0000 0.0000  2 B 1.73
O 0.0000 0.0000 0.5000  2 B 1.73
Y 0.5000 0.5000 0.5000  12 O 2.44

---

Record 9
Crystalline CdAg2Cl at its relaxed geometry. Source: the Alexandria database, functional PBE.

## Properties
energy relative to the elements, uncorrected: -0.163 eV/atom
density: 7.11 g/cm³

Lattice parameters (Å, degrees): 3.2779 3.2511 7.9672 89.83 90.00 90.00
With the nearest neighbours (Å) after each atom.
Positions (direct):
Cl 0.5000 0.7489 0.7492  2 Cd 2.72, 2 Ag 2.74
Ag 0.5000 0.2503 0.2491  6 Ag 2.92-3.25, 4 Cd 2.94
Cd 0.0000 0.7484 0.4774  2 Cl 2.72, 4 Ag 2.94
Ag 0.0000 0.7524 0.0244  2 Cl 2.74, 4 Ag 2.92

---

Record 10
Crystalline TlCSe2Br at its relaxed geometry. Source: the Alexandria database, functional PBE.

## Properties
energy relative to the elements, uncorrected: 0.726 eV/atom
density: 5.05 g/cm³

Lattice parameters (Å, degrees): 4.3258 4.3258 7.9885 90.00 90.00 90.00
With the nearest neighbours (Å) after each atom.
Positions (direct):
Br 0.0000 0.0000 0.5000  4 Tl 3.06
C 0.0000 0.0000 0.0000  4 Se 2.16
Tl 0.5000 0.5000 0.5000  4 Br 3.06
Se 0.0000 0.5000 0.0000  2 C 2.16
Se 0.5000 0.0000 0.0000  2 C 2.16

---

Record 11
Crystalline Hf2PdPt3 at its relaxed geometry. Source: the Alexandria database, functional PBE.

## Properties
formation energy from the elements: -683.1 meV per atom
density: 14.15 g/cm³

Lattice parameters (Å, degrees): 7.1297 5.4889 7.7329 110.79 117.45 90.00
With the nearest neighbours (Å) after each atom.
Positions (direct):
Pt 0.5000 0.7500 0.0000  4 Hf 2.66, 2 Pt 2.74
Hf 0.4723 0.6508 0.3015  6 Pt 2.66-2.73, 1 Pd 2.98
Hf 0.5277 0.3492 0.6985  6 Pt 2.66-2.73, 1 Pd 2.98
Hf 0.1708 0.8492 0.6985  6 Pt 2.66-2.73, 1 Pd 2.98
Hf 0.8292 0.1508 0.3015  6 Pt 2.66-2.73, 1 Pd 2.98
Pt 0.8037 0.0537 0.6074  4 Hf 2.68-2.73, 2 Pt 2.74, 2 Pd 2.82
Pd 0.0000 0.5000 0.0000  2 Pd 2.74, 4 Pt 2.82, 2 Hf 2.98
Pt 0.8037 0.5537 0.6074  4 Hf 2.68-2.73, 2 Pt 2.74, 2 Pd 2.82
Pt 0.1963 0.9463 0.3926  4 Hf 2.68-2.73, 2 Pt 2.74, 2 Pd 2.82
Pt 0.1963 0.4463 0.3926  4 Hf 2.68-2.73, 2 Pt 2.74, 2 Pd 2.82
Pd 0.0000 0.0000 0.0000  2 Pd 2.74, 4 Pt 2.82, 2 Hf 2.98
Pt 0.5000 0.2500 0.0000  4 Hf 2.66, 2 Pt 2.74